(1)
The following is a DFT calculation (PBEsol) of a relaxed structure of Cr2RePb.

Lattice parameters (Å, degrees): 8.8272 2.9880 4.8534 90.00 100.81 90.00
Space group C2/m (No. 12)
Asymmetric unit:
Cr 0.2393 0.0000 0.1727 [4 per cell]
Re 0.0000 0.5000 0.0000 [2 per cell]
Pb 0.0000 0.0000 0.5000 [2 per cell]

Computed properties:
Calculated density   13.1 g/cm³
E_form   0.7467 eV per atom
Final energy   -69.7 eV per cell
Magnetization   0.000 μB/f.u.


(2)
The following is a DFT calculation (PBEsol) of a relaxed structure of Zn2NiIr.

Lattice parameters (Å, degrees): 8.5312 2.8488 4.3819 90.00 107.84 90.00
Space group C2/m (No. 12)
Asymmetric unit:
Zn 0.2415 0.0000 0.2401 [4 per cell]
Ni 0.0000 0.5000 0.0000 [2 per cell]
Ir 0.0000 0.0000 0.5000 [2 per cell]

Computed properties:
Calculated density   12.5 g/cm³
E_form   -0.1474 eV per atom
Final energy   -39.5 eV per cell
Magnetization   0.000 μB/f.u.


(3)
The following is a DFT calculation (PBEsol) of a relaxed structure of CoTcNi2.

Lattice parameters (Å, degrees): 3.4646 3.4646 7.3606 90.00 90.00 90.00
Space group I4/mmm (No. 139)
Asymmetric unit:
Co 0.0000 0.0000 0.0000 [2 per cell]
Tc 0.0000 0.0000 0.5000 [2 per cell]
Ni 0.0000 0.5000 0.2500 [4 per cell]

Computed properties:
Calculated density   10.3 g/cm³
E_form   0.0264 eV per atom
Distance to the lowest polymorph of the same formula   1.9 kJ/mol of atoms
Final energy   -62.4 eV per cell
Magnetization   0.001 μB/f.u.


(4)
The following is a DFT calculation (PBEsol) of a relaxed structure of RbReN2.

Lattice parameters (Å, degrees): 7.8640 6.2222 12.2640 90.00 90.00 90.00
Space group Pbcm (No. 57)
Asymmetric unit:
Rb 0.1094 0.0878 0.2500 [4 per cell]
Rb 0.3664 0.2500 0.0000 [4 per cell]
Re 0.1309 0.7500 0.0000 [4 per cell]
Re 0.3861 0.6455 0.2500 [4 per cell]
N 0.0000 0.0000 0.0000 [4 per cell]
N 0.2652 0.7092 0.1240 [8 per cell]
N 0.4375 0.1504 0.7500 [4 per cell]

Computed properties:
Calculated density   6.6 g/cm³
Distance to the lowest polymorph of the same formula   0.0 kJ/mol of atoms
Final energy   -259.9 eV per cell
Magnetization   0.000 μB/f.u.


(5)
The following is a DFT calculation (PBEsol) of a relaxed structure of TaCoB2.

Lattice parameters (Å, degrees): 3.5651 3.5651 13.4753 90.00 90.00 90.00
Space group I4_1/amd (No. 141, origin choice 2)
Asymmetric unit:
Ta 0.0000 0.2500 0.3750 [4 per cell]
Co 0.0000 0.2500 0.8750 [4 per cell]
B 0.0000 0.0000 0.0000 [8 per cell]

Computed properties:
Calculated density   10.1 g/cm³
E_form   0.0254 eV per atom
Final energy   -136.9 eV per cell
Magnetization   0.000 μB/f.u.


(6)
The following is a DFT calculation (PBEsol) of a relaxed structure of Co3TcSb.

Lattice parameters (Å, degrees): 4.4807 4.4807 4.4807 90.00 90.00 90.00
Space group Pm-3m (No. 221)
Asymmetric unit:
Co 0.0000 0.0000 0.5000 [3 per cell]
Tc 0.5000 0.5000 0.5000 [1 per cell]
Sb 0.0000 0.0000 0.0000 [1 per cell]

Computed properties:
Calculated density   7.3 g/cm³
Distance to the lowest polymorph of the same formula   45.7 kJ/mol of atoms
Final energy   -30.3 eV per cell
Magnetization   7.163 μB/f.u.